4
Lattice="-1.9347 2.7728 1.5184 -1.0706 -2.3063 2.8474 5.0191 0.9649 0.1097" Properties=species:S:1:pos:R:3 comment="CoMo2Pb | the Alexandria database | SCAN | PBEsol geometry" final_energy_ev_per_atom=-40.172 pbc="T T T"
Pb -0.5353 -1.1531 1.4237
Mo 0.2609 0.8342 3.3327
Mo 1.7529 0.5973 1.1428
Co -0.9674 1.3864 0.7592